(1)
Compound: Li3HfAs
Source: the Alexandria database
Functional: PBE
Structure: optimized geometry

Unit cell a=4.543 b=4.543 c=4.543 alpha=90.00 beta=90.00 gamma=90.00
Atoms (fractional coordinates):
Li 0.000 0.000 0.500
Li 0.000 0.500 0.000
Li 0.500 0.000 0.000
Hf 0.500 0.500 0.500
As 0.000 0.000 0.000

Summary:
energy of formation: 0.32 eV per atom


(2)
Compound: LiHf5As6
Source: the Alexandria database
Functional: PBE
Structure: optimized geometry

Unit cell a=6.620 b=6.620 c=6.628 alpha=99.60 beta=99.60 gamma=119.86
Atoms (fractional coordinates):
Li 0.000 0.000 0.000
Hf 0.166 0.834 0.500
Hf 0.335 0.665 0.000
Hf 0.500 0.500 0.500
Hf 0.665 0.335 0.000
Hf 0.834 0.166 0.500
As 0.082 0.410 0.247
As 0.245 0.245 0.754
As 0.410 0.082 0.247
As 0.590 0.918 0.753
As 0.755 0.755 0.246
As 0.918 0.590 0.753

Summary:
energy of formation: -0.94 eV per atom


(3)
Compound: Li3HfAs
Source: the Alexandria database
Functional: PBE
Structure: optimized geometry

Unit cell a=5.110 b=5.110 c=5.110 alpha=90.00 beta=90.00 gamma=90.00
Atoms (fractional coordinates):
Li 0.000 0.000 0.500
Li 0.000 0.500 0.000
Li 0.500 0.000 0.000
Hf 0.000 0.000 0.000
As 0.500 0.500 0.500

Summary:
energy of formation: 1.30 eV per atom


(4)
Compound: LiHf2As3
Source: the Alexandria database
Functional: PBE
Structure: optimized geometry

Unit cell a=12.720 b=12.131 c=6.660 alpha=79.40 beta=69.63 gamma=30.98
Atoms (fractional coordinates):
Li 0.042 0.042 0.208
Li 0.208 0.208 0.042
Li 0.792 0.792 0.958
Li 0.958 0.958 0.792
Hf 0.124 0.124 0.626
Hf 0.292 0.292 0.458
Hf 0.374 0.374 0.876
Hf 0.458 0.458 0.292
Hf 0.542 0.542 0.708
Hf 0.626 0.626 0.124
Hf 0.708 0.708 0.542
Hf 0.876 0.876 0.374
As 0.041 0.543 0.209
As 0.124 0.626 0.626
As 0.209 0.707 0.041
As 0.293 0.791 0.457
As 0.374 0.876 0.876
As 0.457 0.959 0.293
As 0.543 0.041 0.707
As 0.626 0.124 0.124
As 0.707 0.209 0.543
As 0.791 0.293 0.959
As 0.876 0.374 0.374
As 0.959 0.457 0.791

Summary:
energy of formation: -0.87 eV per atom


(5)
Compound: LiHf3Np4As8
Source: the Alexandria database
Functional: PBE
Structure: optimized geometry

Unit cell a=7.904 b=7.904 c=7.904 alpha=60.48 beta=60.48 gamma=60.48
Atoms (fractional coordinates):
Li 0.000 0.000 0.000
Hf 0.000 0.500 0.500
Hf 0.500 0.000 0.500
Hf 0.500 0.500 0.000
Np 0.000 0.000 0.500
Np 0.000 0.500 0.000
Np 0.500 0.000 0.000
Np 0.500 0.500 0.500
As 0.245 0.245 0.743
As 0.245 0.743 0.245
As 0.255 0.255 0.255
As 0.257 0.755 0.755
As 0.743 0.245 0.245
As 0.745 0.745 0.745
As 0.755 0.257 0.755
As 0.755 0.755 0.257

Summary:
energy of formation: -0.80 eV per atom


(6)
Compound: LiHfAsO5
Source: the Alexandria database
Functional: PBE
Structure: optimized geometry

Unit cell a=5.684 b=5.684 c=7.514 alpha=103.21 beta=103.21 gamma=110.49
Atoms (fractional coordinates):
Li 0.216 0.784 0.750
Li 0.784 0.216 0.250
Hf 0.500 0.500 0.000
Hf 0.500 0.500 0.500
As 0.195 0.805 0.250
As 0.805 0.195 0.750
O 0.092 0.264 0.929
O 0.162 0.559 0.355
O 0.264 0.092 0.429
O 0.421 0.579 0.750
O 0.441 0.838 0.145
O 0.559 0.162 0.855
O 0.579 0.421 0.250
O 0.736 0.908 0.571
O 0.838 0.441 0.645
O 0.908 0.736 0.071

Summary:
ΔE_f (raw): -1758 kJ/mol of formula units


no.,DOS at the Fermi energy (states/eV per cell)
1,5.0
2,5.3
3,2.8
4,4.7
5,33.9
6,0.0